No. 1
DFT (PBE) results for a relaxed ZrNi2Ag crystal.

It has space group R-3m (No. 166, hexagonal axes), with a = 3.1566 Å, b = 3.1566 Å, c = 23.1100 Å, α = 90.00°, β = 90.00° and γ = 120.00°. The inequivalent atoms are Zr at (0.0000, 0.0000, 0.0000), Ni at (0.0000, 0.0000, 0.2539) and Ag at (0.0000, 0.0000, 0.5000).

The excess energy over the best structure of this formula in the dataset comes out at 0.318 eV/atom. Its formation energy is 126 meV/atom.


No. 2
DFT (PBE) results for a relaxed BaSr2In2Pb7 crystal.

It has space group Cmmm (No. 65), with a = 7.0122 Å, b = 7.5198 Å, c = 15.1003 Å, α = 90.00°, β = 90.00° and γ = 90.00°. The inequivalent atoms are Ba at (0.0000, 0.0000, 0.0000), Sr at (0.0000, 0.0000, 0.3343), In at (0.0000, 0.5000, 0.3104), Pb at (0.0000, 0.2986, 0.5000), Pb at (0.0000, 0.5000, 0.0000) and Pb at (0.2500, 0.2500, 0.1707).

Its formation energy is -296 meV/atom.


No. 3
DFT (PBE) results for a relaxed YTcC crystal.

It has space group C2/m (No. 12), with a = 16.9061 Å, b = 3.8734 Å, c = 6.9353 Å, α = 90.00°, β = 92.67° and γ = 90.00°. The inequivalent atoms are Y at (0.0996, 0.0000, 0.3307), Y at (0.1011, 0.5000, 0.8907), Tc at (0.2087, 0.5000, 0.5762), Tc at (0.2418, 0.5000, 0.1461), C at (0.1780, 0.0000, 0.0572) and C at (0.1881, 0.0000, 0.6086).

The excess energy over the best structure of this formula in the dataset comes out at 0.137 eV/atom. Its formation energy is -48 meV/atom.


No. 4
DFT (PBE) results for a relaxed Ba6ZnPt2 crystal.

It has space group P-31m (No. 162), with a = 8.0722 Å, b = 8.0722 Å, c = 7.5879 Å, α = 90.00°, β = 90.00° and γ = 120.00°. The inequivalent atoms are Ba at (0.0000, 0.3488, 0.2321), Zn at (0.0000, 0.0000, 0.5000) and Pt at (0.3333, 0.6667, 0.0000).

Its formation energy is -460 meV/atom.


No. 5
DFT (PBE) results for a relaxed RbTl2ZnBr5 crystal.

It has space group I4/mcm (No. 140), with a = 9.0125 Å, b = 9.0125 Å, c = 15.3721 Å, α = 90.00°, β = 90.00° and γ = 90.00°. The inequivalent atoms are Rb at (0.0000, 0.0000, 0.2500), Tl at (0.1610, 0.3390, 0.0000), Zn at (0.0000, 0.5000, 0.2500), Br at (0.0000, 0.0000, 0.0000) and Br at (0.1496, 0.3504, 0.3483).

The value obtained for the total energy is -25.09 eV/f.u.


No. 6
DFT (PBE) results for a relaxed Li7Pt3Au crystal.

It has space group Cmcm (No. 63), with a = 2.7410 Å, b = 21.0812 Å, c = 11.9235 Å, α = 90.00°, β = 90.00° and γ = 90.00°. The inequivalent atoms are Li at (0.0000, 0.0581, 0.1312), Li at (0.0000, 0.0993, 0.6025), Li at (0.0000, 0.1922, 0.2500), Li at (0.0000, 0.2229, 0.5916), Pt at (0.0000, 0.3303, 0.2500), Pt at (0.0000, 0.3441, 0.5627) and Au at (0.0000, 0.4731, 0.2500).

Its formation energy is -495 meV/atom.


No. 7
DFT (PBE) results for a relaxed KMoAsBr2 crystal.

It has space group P4/mmm (No. 123), with a = 5.8879 Å, b = 5.8879 Å, c = 6.0109 Å, α = 90.00°, β = 90.00° and γ = 90.00°. The inequivalent atoms are K at (0.0000, 0.0000, 0.0000), Mo at (0.5000, 0.5000, 0.5000), As at (0.0000, 0.0000, 0.5000) and Br at (0.0000, 0.5000, 0.0000).

The excess energy over the best structure of this formula in the dataset comes out at 1.375 eV/atom.


No. 8
DFT (PBE) results for a relaxed Ba2Cd6PtAu crystal.

It has space group C2/m (No. 12), with a = 10.6406 Å, b = 10.6660 Å, c = 7.5268 Å, α = 90.00°, β = 134.86° and γ = 90.00°. The inequivalent atoms are Ba at (0.0000, 0.2500, 0.0000), Cd at (0.0000, 0.2476, 0.5000), Cd at (0.2475, 0.0000, 0.4996), Cd at (0.2476, 0.0000, 0.9952), Pt at (0.0000, 0.0000, 0.5000) and Au at (0.0000, 0.5000, 0.5000).

Its formation energy is -300 meV/atom.


No. 9
DFT (PBE) results for a relaxed CaSbPt2 crystal.

It has space group F-43m (No. 216), with a = 6.8219 Å, b = 6.8219 Å, c = 6.8219 Å, α = 90.00°, β = 90.00° and γ = 90.00°. The inequivalent atoms are Ca at (0.0000, 0.0000, 0.0000), Sb at (0.2500, 0.2500, 0.7500), Pt at (0.0000, 0.0000, 0.5000) and Pt at (0.2500, 0.2500, 0.2500).

The value obtained for the total energy is -19.75 eV/f.u.


No. 10
DFT (PBE) results for a relaxed KAl4H12 crystal.

It has space group Im-3 (No. 204), with a = 7.1769 Å, b = 7.1769 Å, c = 7.1769 Å, α = 90.00°, β = 90.00° and γ = 90.00°. The inequivalent atoms are K at (0.0000, 0.0000, 0.0000), Al at (0.2500, 0.2500, 0.2500) and H at (0.0000, 0.2478, 0.2500).

The value obtained for the total energy is -56.49 eV/f.u.


No. 11
DFT (PBE) results for a relaxed KSeBr2Cl crystal.

It has space group P4/mmm (No. 123), with a = 6.0891 Å, b = 6.0891 Å, c = 4.8326 Å, α = 90.00°, β = 90.00° and γ = 90.00°. The inequivalent atoms are K at (0.0000, 0.0000, 0.0000), Se at (0.5000, 0.5000, 0.0000), Br at (0.0000, 0.5000, 0.5000) and Cl at (0.5000, 0.5000, 0.5000).

The excess energy over the best structure of this formula in the dataset comes out at 0.506 eV/atom.


No. 12
DFT (PBE) results for a relaxed CoOs2PdN crystal.

It has space group P4/mmm (No. 123), with a = 4.8087 Å, b = 4.8087 Å, c = 4.5864 Å, α = 90.00°, β = 90.00° and γ = 90.00°. The inequivalent atoms are Co at (0.0000, 0.0000, 0.0000), Os at (0.0000, 0.5000, 0.5000), Pd at (0.0000, 0.0000, 0.5000) and N at (0.5000, 0.5000, 0.0000).

The value obtained for the total energy is -26.09 eV/f.u.